LiMnFeF6: optimized geometry, GGA+U.

abc: 4.7139 4.7139 9.3564
angles: 90.00 90.00 90.00
Last column: nearest neighbours and their distance in Å.
Element x y z (fractional)
Li 0.0000 0.0000 0.0000  6 F 2.05-2.10
Li 0.5000 0.5000 0.5000  6 F 2.05-2.10
Mn 0.0000 0.0000 0.3351  6 F 1.93-1.95
Mn 0.5000 0.5000 0.8351  6 F 1.93-1.95
Fe 0.0000 0.0000 0.6692  6 F 2.05-2.12
Fe 0.5000 0.5000 0.1692  6 F 2.05-2.12
F 0.1922 0.1922 0.1781  1 Mn 1.95, 1 Fe 2.05, 1 Li 2.10
F 0.1929 0.1929 0.4892  1 Mn 1.93, 1 Li 2.05, 1 Fe 2.12
F 0.2111 0.2111 0.8370  1 Mn 1.93, 1 Li 2.07, 1 Fe 2.11
F 0.2889 0.7111 0.3370  1 Mn 1.93, 1 Li 2.07, 1 Fe 2.11
F 0.3071 0.6929 0.9892  1 Mn 1.93, 1 Li 2.05, 1 Fe 2.12
F 0.3078 0.6922 0.6781  1 Mn 1.95, 1 Fe 2.05, 1 Li 2.10
F 0.6922 0.3078 0.6781  1 Mn 1.95, 1 Fe 2.05, 1 Li 2.10
F 0.6929 0.3071 0.9892  1 Mn 1.93, 1 Li 2.05, 1 Fe 2.12
F 0.7111 0.2889 0.3370  1 Mn 1.93, 1 Li 2.07, 1 Fe 2.11
F 0.7889 0.7889 0.8370  1 Mn 1.93, 1 Li 2.07, 1 Fe 2.11
F 0.8071 0.8071 0.4892  1 Mn 1.93, 1 Li 2.05, 1 Fe 2.12
F 0.8078 0.8078 0.1781  1 Mn 1.95, 1 Fe 2.05, 1 Li 2.10

Values from the calculation:
Energy above the most stable polymorph in this dataset, meV/atom: 225.0
Size of the total moment, μB per formula unit: 6.0
Crystal system: tetragonal
Density, g/cm³: 3.70
Calculated volume, A^3/atom: 11.550